(1)
# CaTaW2

A relaxed structure of CaTaW2 (GGA-PBE, Alexandria via LeMat-Bulk).

Volume = 21.58 Å³ per atom
E above lowest polymorph = 125 meV per atom
Total energy = -9.328 eV/atom
DFT formation energy = 0.612 eV per atom

Lattice parameters (Å, degrees): 3.5502 3.5502 6.8490 90.00 90.00 90.00
Last column: nearest neighbours and their distance in Å.
Positions (direct):
Ca  0.0000  0.0000  0.0000  8 W 3.35, 2 Ta 3.42, 4 Ca 3.55
Ta  0.0000  0.0000  0.5000  8 W 2.79
W  0.5000  0.5000  0.3230  1 W 2.42
W  0.5000  0.5000  0.6770  1 W 2.42


(2)
# CaTaW2

A relaxed structure of CaTaW2 (GGA-PBE, Alexandria via LeMat-Bulk).

Volume = 20.25 Å³ per atom
E above lowest polymorph = 133 meV per atom
Total energy = -9.321 eV/atom
DFT formation energy = 0.619 eV per atom

Lattice parameters (Å, degrees): 2.8206 4.6443 6.2569 90.00 98.81 90.00
Last column: nearest neighbours and their distance in Å.
Positions (direct):
Ca  0.0000  0.0000  0.0000  2 Ca 2.82, 4 W 3.13
Ta  0.5000  0.0000  0.5000  4 W 2.79, 2 Ta 2.82
W  0.2097  0.5000  0.6916  1 W 2.51, 2 Ta 2.79
W  0.7903  0.5000  0.3084  1 W 2.51, 2 Ta 2.79


(3)
# CaTaW2

A relaxed structure of CaTaW2 (GGA-PBE, Alexandria via LeMat-Bulk).

Volume = 19.20 Å³ per atom
E above lowest polymorph = 316 meV per atom
Total energy = -9.137 eV/atom
DFT formation energy = 0.803 eV per atom

Lattice parameters (Å, degrees): 2.7285 4.6933 5.9988 90.00 90.00 90.00
Last column: nearest neighbours and their distance in Å.
Positions (direct):
Ca  0.0000  0.0000  0.0000  2 Ca 2.73, 2 W 2.96-3.04
Ta  0.5000  0.5000  0.2798  1 W 2.65, 2 Ta 2.73
W  0.0000  0.0000  0.5072  6 W 2.73-3.01, 2 Ca 2.96-3.04, 4 Ta 3.04
W  0.5000  0.5000  0.7223  1 Ta 2.65, 2 W 2.73


(4)
# CaTaW2

A relaxed structure of CaTaW2 (GGA-PBE, Alexandria via LeMat-Bulk).

Volume = 18.88 Å³ per atom
E above lowest polymorph = 305 meV per atom
Total energy = -9.148 eV/atom
DFT formation energy = 0.792 eV per atom

Lattice parameters (Å, degrees): 10.5944 10.5944 10.5944 15.66 15.66 15.66
Last column: nearest neighbours and their distance in Å.
Positions (direct):
Ca  0.0000  0.0000  0.0000  6 Ca 2.89, 6 W 3.21
Ta  0.5000  0.5000  0.5000  6 Ta 2.89, 6 W 3.00
W  0.2461  0.2461  0.2461  6 W 2.89, 3 Ta 3.00, 3 Ca 3.21
W  0.7539  0.7539  0.7539  6 W 2.89, 3 Ta 3.00, 3 Ca 3.21


(5)
# CaTaW2

A relaxed structure of CaTaW2 (GGA-PBE, Alexandria via LeMat-Bulk).

Volume = 18.63 Å³ per atom
E above lowest polymorph = 392 meV per atom
Total energy = -9.061 eV/atom
DFT formation energy = 0.879 eV per atom

Lattice parameters (Å, degrees): 4.7237 4.7237 4.7237 60.00 60.00 60.00
Last column: nearest neighbours and their distance in Å.
Positions (direct):
Ca  0.0000  0.0000  0.0000  8 W 2.89
Ta  0.5000  0.5000  0.5000  8 W 2.89
W  0.2500  0.2500  0.2500  4 Ta 2.89, 4 Ca 2.89
W  0.7500  0.7500  0.7500  4 Ta 2.89, 4 Ca 2.89


(6)
# Ca2YTa

A relaxed structure of Ca2YTa (GGA-PBE, Alexandria via LeMat-Bulk).

Volume = 28.68 Å³ per atom
E above lowest polymorph = 187 meV per atom
Total energy = -4.989 eV/atom
DFT formation energy = 0.591 eV per atom

Lattice parameters (Å, degrees): 6.1844 6.1844 5.8829 100.10 100.10 31.24
Last column: nearest neighbours and their distance in Å.
Positions (direct):
Ca  0.2349  0.2349  0.2311  6 Ca 3.26-3.54, 2 Ta 3.33, 1 Y 3.46
Ca  0.7651  0.7651  0.7689  6 Ca 3.26-3.54, 2 Ta 3.33, 1 Y 3.46
Y  0.0000  0.0000  0.5000  2 Y 3.33, 4 Ta 3.38, 6 Ca 3.46-3.66
Ta  0.5000  0.5000  0.0000  6 Ca 3.33-3.66, 2 Ta 3.33, 4 Y 3.38


(7)
# Ca2YTa

A relaxed structure of Ca2YTa (GGA-PBE, Alexandria via LeMat-Bulk).

Volume = 29.22 Å³ per atom
E above lowest polymorph = 375 meV per atom
Total energy = -4.801 eV/atom
DFT formation energy = 0.779 eV per atom

Lattice parameters (Å, degrees): 5.4878 5.4878 5.4878 60.00 60.00 60.00
Last column: nearest neighbours and their distance in Å.
Positions (direct):
Ca  0.2500  0.2500  0.2500  4 Ta 3.36, 4 Y 3.36
Ca  0.7500  0.7500  0.7500  4 Ta 3.36, 4 Y 3.36
Y  0.0000  0.0000  0.0000  8 Ca 3.36
Ta  0.5000  0.5000  0.5000  8 Ca 3.36


(8)
# Ca2YTa

A relaxed structure of Ca2YTa (GGA-PBE, Alexandria via LeMat-Bulk).

Volume = 29.18 Å³ per atom
E above lowest polymorph = 259 meV per atom
Total energy = -4.917 eV/atom
DFT formation energy = 0.663 eV per atom

Lattice parameters (Å, degrees): 6.1917 6.1917 6.1917 135.05 135.05 65.45
Last column: nearest neighbours and their distance in Å.
Positions (direct):
Ca  0.2500  0.7500  0.5000  4 Ca 3.35, 4 Ta 3.52, 4 Y 3.52
Ca  0.7500  0.2500  0.5000  4 Ca 3.35, 4 Ta 3.52, 4 Y 3.52
Y  0.0000  0.0000  0.0000  4 Ta 3.35, 8 Ca 3.52
Ta  0.5000  0.5000  0.0000  4 Y 3.35, 8 Ca 3.52